No. 1
A plane-wave DFT calculation with PBE was carried out for BePN2O after structural relaxation.

Lattice parameters (Å, degrees): 3.4426 3.4426 3.4225 90.00 90.00 90.00
With the nearest neighbours (Å) after each atom.
Fractional coordinates of all 5 atoms:
N 0.5000 0.0000 0.0000  2 P 1.72
O 0.0000 0.0000 0.5000  2 P 1.71
Be 0.5000 0.5000 0.5000  8 N 2.43, 4 O 2.43
P 0.0000 0.0000 0.0000  2 O 1.71, 4 N 1.72
N 0.0000 0.5000 0.0000  2 P 1.72

Calculated values
- D(E_F) (states/eV/atom) = 0.55
- DFT total energy (eV for the cell shown) = -28.63
- raw formation energy (eV/f.u.) = 2.1
- SG = P4/mmm (123)
- total magnetization (Bohr magnetons per cell) = 0.51


No. 2
A plane-wave DFT calculation with PBE was carried out for YHo4Tl5 after structural relaxation.

Lattice parameters (Å, degrees): 3.7467 3.7467 19.3209 90.00 90.00 90.00
With the nearest neighbours (Å) after each atom.
Fractional coordinates of all 10 atoms:
Y 0.0000 0.0000 0.0000  8 Tl 3.29
Tl 0.5000 0.5000 0.8986  4 Ho 3.27, 4 Y 3.29
Tl 0.5000 0.5000 0.6992  8 Ho 3.27-3.28
Tl 0.5000 0.5000 0.3008  8 Ho 3.27-3.28
Tl 0.5000 0.5000 0.1014  4 Ho 3.27, 4 Y 3.29
Tl 0.5000 0.5000 0.5000  8 Ho 3.27
Ho 0.0000 0.0000 0.7991  8 Tl 3.27-3.28
Ho 0.0000 0.0000 0.5996  8 Tl 3.27
Ho 0.0000 0.0000 0.2009  8 Tl 3.27-3.28
Ho 0.0000 0.0000 0.4004  8 Tl 3.27

Calculated values
- D(E_F) (states/eV/atom) = 0.80
- DFT total energy (eV for the cell shown) = -39.97
- energy of formation from the pure elements (eV per atom) = -0.3367
- SG = P4/mmm (123)
- total magnetization (Bohr magnetons per cell) = 0.00